1.
A geometry-optimized Mn2InCu structure, computed with PBE-GGA.

Computed properties:
Crystal system = tetragonal
Magnetic moment = 12.92 μB/cell
ΔE_f = 0.198 eV per atom
Raw total energy = -0.44803 Ry per atom
Calculated density = 7.90 g/cm3

a b c (Å): 3.936 3.936 7.817
angles (deg): 90.00 90.00 90.00
Space group I4/mmm (No. 139)
Unique sites:
Mn: 0.000 0.500 0.250 [4 per cell]
In: 0.000 0.000 0.000 [2 per cell]
Cu: 0.000 0.000 0.500 [2 per cell]

2.
A geometry-optimized MnIn2Cu structure, computed with PBE-GGA.

Computed properties:
Crystal system = monoclinic
Magnetic moment = 7.19 μB/cell
ΔE_f = 0.273 eV per atom
Raw total energy = -0.32432 Ry per atom
Calculated density = 7.69 g/cm3

a b c (Å): 8.920 3.171 5.427
angles (deg): 90.00 101.52 90.00
Space group C2/m (No. 12)
Unique sites:
Mn: 0.000 0.000 0.000 [2 per cell]
In: 0.244 0.000 0.744 [4 per cell]
Cu: 0.000 0.500 0.500 [2 per cell]

3.
A geometry-optimized MnInCu2 structure, computed with PBE-GGA.

Computed properties:
Crystal system = orthorhombic
Magnetic moment = 4.06 μB/cell
ΔE_f = 0.117 eV per atom
Raw total energy = -0.36073 Ry per atom
Calculated density = 8.05 g/cm3

a b c (Å): 3.082 3.228 6.157
angles (deg): 90.00 90.00 90.00
Space group Pmmm (No. 47)
Unique sites:
Mn: 0.000 0.000 0.000 [1 per cell]
In: 0.000 0.000 0.500 [1 per cell]
Cu: 0.500 0.500 0.216 [2 per cell]

4.
A geometry-optimized Mn2In2Cu structure, computed with PBE-GGA.

Computed properties:
Crystal system = tetragonal
Magnetic moment = 6.05 μB/cell
ΔE_f = 0.323 eV per atom
Raw total energy = -0.38656 Ry per atom
Calculated density = 8.14 g/cm3

a b c (Å): 6.326 6.326 4.111
angles (deg): 90.00 90.00 90.00
Space group P4/mbm (No. 127)
Unique sites:
Mn: 0.119 0.381 0.000 [4 per cell]
In: 0.181 0.681 0.500 [4 per cell]
Cu: 0.000 0.000 0.000 [2 per cell]

5.
A geometry-optimized Mn2InCu structure, computed with PBE-GGA.

Computed properties:
Crystal system = tetragonal
Magnetic moment = 28.21 μB/cell
ΔE_f = 0.526 eV per atom
Raw total energy = -0.42386 Ry per atom
Calculated density = 7.05 g/cm3

a b c (Å): 7.096 7.096 5.393
angles (deg): 90.00 90.00 90.00
Space group I-42d (No. 122)
Unique sites:
Mn: 0.214 0.750 0.125 [8 per cell]
In: 0.000 0.000 0.500 [4 per cell]
Cu: 0.000 0.000 0.000 [4 per cell]

6.
A geometry-optimized MnInCu2 structure, computed with PBE-GGA.

Computed properties:
Crystal system = tetragonal
Magnetic moment = 7.30 μB/cell
ΔE_f = 0.135 eV per atom
Raw total energy = -0.35941 Ry per atom
Calculated density = 8.23 g/cm3

a b c (Å): 4.081 4.081 7.194
angles (deg): 90.00 90.00 90.00
Space group I-4m2 (No. 119)
Unique sites:
Mn: 0.000 0.000 0.000 [2 per cell]
In: 0.000 0.500 0.250 [2 per cell]
Cu: 0.000 0.000 0.500 [2 per cell]
Cu: 0.000 0.500 0.750 [2 per cell]

7.
A geometry-optimized MnInCu structure, computed with PBE-GGA.

Computed properties:
Crystal system = trigonal
Magnetic moment = 3.81 μB/cell
ΔE_f = 0.324 eV per atom
Raw total energy = -0.36828 Ry per atom
Calculated density = 7.50 g/cm3

a b c (Å): 3.0524 3.0524 6.4049
angles (deg): 90.00 90.00 120.00
Space group P3m1 (No. 156)
Unique sites:
Mn: 0.0000 0.0000 0.0000 [1 per cell]
In: 0.6667 0.3333 0.6325 [1 per cell]
Cu: 0.3333 0.6667 0.2901 [1 per cell]

8.
A geometry-optimized MnInCu2 structure, computed with PBE-GGA.

Computed properties:
Crystal system = cubic
Magnetic moment = 14.28 μB/cell
ΔE_f = 0.141 eV per atom
Raw total energy = -0.35896 Ry per atom
Calculated density = 8.24 g/cm3

a b c (Å): 6.207 6.207 6.207
angles (deg): 90.00 90.00 90.00
Space group F-43m (No. 216)
Unique sites:
Mn: 0.000 0.000 0.000 [4 per cell]
In: 0.250 0.250 0.750 [4 per cell]
Cu: 0.000 0.000 0.500 [4 per cell]
Cu: 0.250 0.250 0.250 [4 per cell]

9.
A geometry-optimized MnInCu2 structure, computed with PBE-GGA.

Computed properties:
Crystal system = trigonal
Magnetic moment = 10.87 μB/cell
ΔE_f = 0.321 eV per atom
Raw total energy = -0.34574 Ry per atom
Calculated density = 7.78 g/cm3

a b c (Å): 2.9654 2.9654 24.9556
angles (deg): 90.00 90.00 120.00
Space group R3m (No. 160, hexagonal axes)
Unique sites:
Mn: 0.0000 0.0000 0.0000 [3 per cell]
In: 0.0000 0.0000 0.7605 [3 per cell]
Cu: 0.0000 0.0000 0.2572 [3 per cell]
Cu: 0.0000 0.0000 0.5159 [3 per cell]

10.
A geometry-optimized MnIn2Cu structure, computed with PBE-GGA.

Computed properties:
Crystal system = orthorhombic
Magnetic moment = 6.47 μB/cell
ΔE_f = 0.184 eV per atom
Raw total energy = -0.33085 Ry per atom
Calculated density = 7.77 g/cm3

a b c (Å): 3.065 4.566 10.630
angles (deg): 90.00 90.00 90.00
Space group Imm2 (No. 44)
Unique sites:
Mn: 0.000 0.000 0.000 [2 per cell]
In: 0.000 0.000 0.483 [2 per cell]
In: 0.000 0.500 0.265 [2 per cell]
Cu: 0.000 0.500 0.696 [2 per cell]

11.
A geometry-optimized MnIn2Cu structure, computed with PBE-GGA.

Computed properties:
Crystal system = cubic
Magnetic moment = 13.27 μB/cell
ΔE_f = 0.227 eV per atom
Raw total energy = -0.32773 Ry per atom
Calculated density = 8.14 g/cm3

a b c (Å): 6.573 6.573 6.573
angles (deg): 90.00 90.00 90.00
Space group Fm-3m (No. 225)
Unique sites:
Mn: 0.000 0.000 0.000 [4 per cell]
In: 0.250 0.250 0.250 [8 per cell]
Cu: 0.000 0.000 0.500 [4 per cell]

12.
A geometry-optimized Mn2InCu structure, computed with PBE-GGA.

Computed properties:
Crystal system = monoclinic
Magnetic moment = 13.20 μB/cell
ΔE_f = 0.259 eV per atom
Raw total energy = -0.44352 Ry per atom
Calculated density = 7.79 g/cm3

a b c (Å): 5.523 7.638 2.913
angles (deg): 90.00 90.14 90.00
Space group C2/m (No. 12)
Unique sites:
Mn: 0.250 0.250 0.000 [4 per cell]
In: 0.000 0.000 0.500 [2 per cell]
Cu: 0.000 0.500 0.500 [2 per cell]

13.
A geometry-optimized MnInCu2N structure, computed with PBE-GGA.

Computed properties:
Crystal system = tetragonal
Uncorrected formation energy = 2.105 eV per atom
Magnetic moment = 0.00 μB/cell
Raw total energy = -0.26315 Ry per atom
Calculated density = 4.97 g/cm3

a b c (Å): 4.496 4.496 5.135
angles (deg): 90.00 90.00 90.00
Space group P4/mmm (No. 123)
Unique sites:
Mn: 0.000 0.000 0.000 [1 per cell]
In: 0.000 0.000 0.500 [1 per cell]
Cu: 0.000 0.500 0.000 [2 per cell]
N: 0.500 0.500 0.500 [1 per cell]

14.
A geometry-optimized Mn2InCuN structure, computed with PBE-GGA.

Computed properties:
Crystal system = tetragonal
Uncorrected formation energy = 0.012 eV per atom
Magnetic moment = 4.87 μB/cell
Raw total energy = -0.49158 Ry per atom
Calculated density = 7.88 g/cm3

a b c (Å): 3.912 3.912 4.163
angles (deg): 90.00 90.00 90.00
Space group P4/mmm (No. 123)
Unique sites:
Mn: 0.000 0.500 0.000 [2 per cell]
In: 0.000 0.000 0.500 [1 per cell]
Cu: 0.500 0.500 0.500 [1 per cell]
N: 0.500 0.500 0.000 [1 per cell]

15.
A geometry-optimized PaMnInCu structure, computed with PBE-GGA.

Computed properties:
Crystal system = cubic
Magnetic moment = 9.86 μB/cell
ΔE_f = 0.125 eV per atom
Raw total energy = -0.45935 Ry per atom
Calculated density = 10.31 g/cm3

a b c (Å): 6.689 6.689 6.689
angles (deg): 90.00 90.00 90.00
Space group F-43m (No. 216)
Unique sites:
Pa: 0.000 0.000 0.000 [4 per cell]
Mn: 0.250 0.250 0.250 [4 per cell]
In: 0.000 0.000 0.500 [4 per cell]
Cu: 0.250 0.250 0.750 [4 per cell]

16.
A geometry-optimized MnIn2Cu2Pd5 structure, computed with PBE-GGA.

Computed properties:
Crystal system = tetragonal
Magnetic moment = 9.45 μB/cell
ΔE_f = -0.207 eV per atom
Raw total energy = -0.37390 Ry per atom
Calculated density = 9.52 g/cm3

a b c (Å): 9.195 9.195 3.893
angles (deg): 90.00 90.00 90.00
Space group P4/mbm (No. 127)
Unique sites:
Mn: 0.000 0.000 0.000 [2 per cell]
In: 0.169 0.331 0.000 [4 per cell]
Cu: 0.126 0.626 0.000 [4 per cell]
Pd: 0.000 0.500 0.500 [2 per cell]
Pd: 0.093 0.810 0.500 [8 per cell]

17.
A geometry-optimized MnIn4CuS8 structure, computed with PBE-GGA.

Computed properties:
Crystal system = trigonal
Uncorrected formation energy = -0.513 eV per atom
Magnetic moment = 11.96 μB/cell
Raw total energy = -0.33817 Ry per atom
Calculated density = 4.55 g/cm3

a b c (Å): 7.5756 7.5756 18.3859
angles (deg): 90.00 90.00 120.00
Space group R3m (No. 160, hexagonal axes)
Unique sites:
Mn: 0.0000 0.0000 0.0000 [3 per cell]
In: 0.0000 0.0000 0.3844 [3 per cell]
In: 0.0141 0.5070 0.5088 [9 per cell]
Cu: 0.0000 0.0000 0.6305 [3 per cell]
S: 0.0000 0.0000 0.2478 [3 per cell]
S: 0.0000 0.0000 0.7587 [3 per cell]
S: 0.0346 0.5173 0.7545 [9 per cell]
S: 0.1736 0.3473 0.5945 [9 per cell]

18.
A geometry-optimized MnIn2CuSe4 structure, computed with PBE-GGA.

Computed properties:
Crystal system = tetragonal
Uncorrected formation energy = -0.392 eV per atom
Magnetic moment = 8.83 μB/cell
Raw total energy = -0.32909 Ry per atom
Calculated density = 5.09 g/cm3

a b c (Å): 6.051 6.051 11.838
angles (deg): 90.00 90.00 90.00
Space group I-42m (No. 121)
Unique sites:
Mn: 0.000 0.000 0.000 [2 per cell]
In: 0.000 0.500 0.250 [4 per cell]
Cu: 0.000 0.000 0.500 [2 per cell]
Se: 0.246 0.246 0.391 [8 per cell]

19.
A geometry-optimized MnIn4CuSe8 structure, computed with PBE-GGA.

Computed properties:
Crystal system = trigonal
Uncorrected formation energy = -0.451 eV per atom
Magnetic moment = 11.93 μB/cell
Raw total energy = -0.30664 Ry per atom
Calculated density = 5.65 g/cm3

a b c (Å): 7.9748 7.9748 19.3630
angles (deg): 90.00 90.00 120.00
Space group R3m (No. 160, hexagonal axes)
Unique sites:
Mn: 0.0000 0.0000 0.0000 [3 per cell]
In: 0.0000 0.0000 0.6166 [3 per cell]
In: 0.1747 0.3494 0.8246 [9 per cell]
Cu: 0.0000 0.0000 0.3697 [3 per cell]
Se: 0.0000 0.0000 0.2421 [3 per cell]
Se: 0.0000 0.0000 0.7533 [3 per cell]
Se: 0.0132 0.5066 0.7391 [9 per cell]
Se: 0.1845 0.3690 0.5789 [9 per cell]

20.
A geometry-optimized Mn2InCuSe4 structure, computed with PBE-GGA.

Computed properties:
Crystal system = tetragonal
Uncorrected formation energy = -0.417 eV per atom
Magnetic moment = 19.99 μB/cell
Raw total energy = -0.38996 Ry per atom
Calculated density = 4.92 g/cm3

a b c (Å): 5.895 5.895 11.723
angles (deg): 90.00 90.00 90.00
Space group I-42m (No. 121)
Unique sites:
Mn: 0.000 0.500 0.250 [4 per cell]
In: 0.000 0.000 0.000 [2 per cell]
Cu: 0.000 0.000 0.500 [2 per cell]
Se: 0.236 0.236 0.375 [8 per cell]